# 1
DFT (PBE) results for a relaxed structure of RbNpTa.

space-group type	F-43m, No. 216
calculated total energy	-6.0262	eV per atom

abc: 5.6259 5.6259 5.6259
angles: 60.00 60.00 60.00
Site moments in Bohr magnetons follow the coordinates.
Fractional positions:
Np1 0.0000 0.0000 0.0000  4.16
Rb1 0.5000 0.5000 0.5000  -0.01
Ta1 0.2500 0.2500 0.2500  -0.35


# 2
DFT (PBE) results for a relaxed structure of RbNpTe.

space-group type	F-43m, No. 216
calculated total energy	-5.3302	eV per atom

abc: 5.8587 5.8587 5.8587
angles: 60.00 60.00 60.00
Fractional positions:
Te1 0.0000 0.0000 0.0000
Np1 0.2500 0.2500 0.2500
Rb1 0.7500 0.7500 0.7500


# 3
DFT (PBE) results for a relaxed structure of RbNpU.

space-group type	F-43m, No. 216
calculated total energy	-6.1711	eV per atom

abc: 5.3506 5.3506 5.3506
angles: 60.00 60.00 60.00
Fractional positions:
Np1 0.2500 0.2500 0.2500
Rb1 0.7500 0.7500 0.7500
U1 0.0000 0.0000 0.0000


# 4
DFT (PBE) results for a relaxed structure of RbNpZn.

ΔE to the lowest computed polymorph	0	kJ/mol of formula units
space-group type	F-43m, No. 216

abc: 5.4048 5.4048 5.4048
angles: 60.00 60.00 60.00
Site moments in Bohr magnetons follow the coordinates.
Fractional positions:
Rb1 0.7500 0.7500 0.7500  0.05
Np1 0.2500 0.2500 0.2500  4.66
Zn1 0.0000 0.0000 0.0000  0.10


# 5
DFT (PBE) results for a relaxed structure of NpReSb.

space-group type	F-43m, No. 216
calculated total energy	-8.5626	eV per atom

abc: 4.6681 4.6681 4.6681
angles: 60.00 60.00 60.00
Site moments in Bohr magnetons follow the coordinates.
Fractional positions:
Re1 0.2500 0.2500 0.2500  0.00
Np1 0.0000 0.0000 0.0000  -0.06
Sb1 0.7500 0.7500 0.7500  0.00


# 6
DFT (PBE) results for a relaxed structure of NpScRe.

ΔE to the lowest computed polymorph	0	kJ/mol of formula units
space-group type	F-43m, No. 216
ΔE_f	0.370	eV/atom

abc: 4.5932 4.5932 4.5932
angles: 60.00 60.00 60.00
Site moments in Bohr magnetons follow the coordinates.
Fractional positions:
Sc1 0.2500 0.2500 0.2500  0.03
Re1 0.0000 0.0000 0.0000  -0.50
Np1 0.7500 0.7500 0.7500  3.29


# 7
DFT (PBE) results for a relaxed structure of NpReSi.

space-group type	F-43m, No. 216
calculated total energy	-9.8110	eV per atom

abc: 4.3429 4.3429 4.3429
angles: 60.00 60.00 60.00
Fractional positions:
Np1 0.2500 0.2500 0.2500
Re1 0.7500 0.7500 0.7500
Si1 0.0000 0.0000 0.0000


# 8
DFT (PBE) results for a relaxed structure of SmNpRe.

ΔE to the lowest computed polymorph	0	kJ/mol of formula units
space-group type	F-43m, No. 216
ΔE_f	0.581	eV/atom

abc: 4.7795 4.7795 4.7795
angles: 60.00 60.00 60.00
Site moments in Bohr magnetons follow the coordinates.
Fractional positions:
Sm1 0.2500 0.2500 0.2500  0.06
Np1 0.7500 0.7500 0.7500  3.63
Re1 0.0000 0.0000 0.0000  -0.49